Entry 1:
# Ca2ZrP

An optimized crystal structure of Ca2ZrP (GGA-PBE, the Alexandria database).

Unit cell a=5.9202 b=5.9202 c=5.9202 alpha=136.43 beta=136.43 gamma=63.32
With the nearest neighbours (Å) after each atom.
Sites, in units of the cell vectors:
P (0.5000, 0.5000, 0.0000)  8 Ca 3.11-3.34, 4 Zr 3.34
Zr (0.7500, 0.2500, 0.5000)  8 Ca 3.11-3.34, 4 P 3.34
Ca (0.2500, 0.7500, 0.5000)  4 Zr 3.11, 4 Ca 3.34, 4 P 3.34
Ca (0.0000, 0.0000, 0.0000)  4 P 3.11, 4 Zr 3.34, 4 Ca 3.34

Computed properties:
Its total energy is -0.331 Ry/atom. The formation energy comes out at -11.2 meV/atom.

Entry 2:
# Ca4ZrP

An optimized crystal structure of Ca4ZrP (GGA-PBE, the Alexandria database).

Unit cell a=6.4395 b=6.4395 c=6.4395 alpha=60.00 beta=60.00 gamma=60.00
With the nearest neighbours (Å) after each atom.
Sites, in units of the cell vectors:
Ca (0.3748, 0.3748, 0.3748)  6 Ca 3.21-3.23
Ca (0.3748, 0.8757, 0.3748)  6 Ca 3.21-3.23
Ca (0.8757, 0.3748, 0.3748)  6 Ca 3.21-3.23
Ca (0.3748, 0.3748, 0.8757)  6 Ca 3.21-3.23
P (0.7500, 0.7500, 0.7500)  12 Ca 3.78, 4 Zr 3.94
Zr (0.0000, 0.0000, 0.0000)  12 Ca 3.77, 4 P 3.94

Computed properties:
Its total energy is -0.221 Ry/atom. The formation energy comes out at 653.6 meV/atom.

Entry 3:
# Ca2Zr2P

An optimized crystal structure of Ca2Zr2P (GGA-PBE, the Alexandria database).

Unit cell a=7.2155 b=7.2155 c=5.3637 alpha=90.00 beta=90.00 gamma=90.00
With the nearest neighbours (Å) after each atom.
Sites, in units of the cell vectors:
P (0.0000, 0.0000, 0.0000)  4 Ca 2.71
P (0.5000, 0.5000, 0.0000)  4 Ca 2.71
Zr (0.8660, 0.3660, 0.5000)  1 Zr 2.73
Zr (0.3660, 0.1340, 0.5000)  1 Zr 2.73
Zr (0.1340, 0.6340, 0.5000)  1 Zr 2.73
Zr (0.6340, 0.8660, 0.5000)  1 Zr 2.73
Ca (0.3388, 0.8388, 0.0000)  2 P 2.71
Ca (0.6612, 0.1612, 0.0000)  2 P 2.71
Ca (0.8388, 0.6612, 0.0000)  2 P 2.71
Ca (0.1612, 0.3388, 0.0000)  2 P 2.71

Computed properties:
The value obtained for the energy above the most stable polymorph in this dataset is 298.4 meV per atom. Its total energy is -0.362 Ry/atom. The formation energy comes out at 383.2 meV/atom.